{"formula": "UBe2TlF8", "functional": "PBE", "state": "optimized geometry", "space_group": "No. 148", "e_form_raw_mev_per_atom": -3051, "final_energy_ev_per_atom": -6.058, "cell": [[2.5896, 1.4951, 8.3099], [-2.5896, 1.4951, 8.3099], [0.0000, -2.9902, 8.3099]], "species": ["U", "Be", "Be", "Tl", "F", "F", "F", "F", "F", "F", "F", "F"], "fractional_positions": [[0.0000, 0.0000, 0.0000], [0.2517, 0.2517, 0.2517], [0.7483, 0.7483, 0.7483], [0.5000, 0.5000, 0.5000], [0.0072, 0.4414, 0.7204], [0.1918, 0.1918, 0.1918], [0.2796, 0.9928, 0.5586], [0.4414, 0.7204, 0.0072], [0.5586, 0.2796, 0.9928], [0.7204, 0.0072, 0.4414], [0.8082, 0.8082, 0.8082], [0.9928, 0.5586, 0.2796]]}